# 1
Entry from Alexandria via LeMat-Bulk: InCu2Si after structural relaxation (PBE).

Values from the calculation:
Mass density, kg/m3: 6895
E, eV/atom: -3.783

a = 3.0183 Å, b = 3.0183 Å, c = 24.7244 Å
α = 90.00°, β = 90.00°, γ = 120.00°
Closest atoms and distances in Å follow each position.
Space group R3m (No. 160, hexagonal axes)
Inequivalent atoms, fractional coordinates:
In 0.0000 0.0000 0.0000 [3 per cell]  3 Cu 2.77, 6 In 3.02, 3 Si 3.08
Cu 0.0000 0.0000 0.4955 [3 per cell]  3 Si 2.43, 3 Cu 2.54
Cu 0.0000 0.0000 0.7540 [3 per cell]  3 Cu 2.54, 3 In 2.77
Si 0.0000 0.0000 0.2305 [3 per cell]  3 Cu 2.43

---

# 2
Entry from Alexandria via LeMat-Bulk: InCuSi2 after structural relaxation (PBE).

Values from the calculation:
Mass density, kg/m3: 5528
E, eV/atom: -3.962

a = 5.2647 Å, b = 7.2907 Å, c = 3.6707 Å
α = 90.00°, β = 90.00°, γ = 90.00°
Closest atoms and distances in Å follow each position.
Space group Cmmm (No. 65)
Inequivalent atoms, fractional coordinates:
In 0.0000 0.0000 0.0000 [2 per cell]  2 Cu 2.63, 8 Si 2.90
Cu 0.0000 0.5000 0.0000 [2 per cell]  2 In 2.63, 8 Si 2.90
Si 0.2500 0.2500 0.5000 [4 per cell]  2 Si 2.63, 4 In 2.90, 4 Cu 2.90

---

# 3
Entry from Alexandria via LeMat-Bulk: InCu2Si after structural relaxation (PBE).

Values from the calculation:
Mass density, kg/m3: 7058
E, eV/atom: -3.873

a = 3.2999 Å, b = 3.2999 Å, c = 5.8338 Å
α = 90.00°, β = 90.00°, γ = 90.00°
Closest atoms and distances in Å follow each position.
Space group P4mm (No. 99)
Inequivalent atoms, fractional coordinates:
In 0.0000 0.0000 0.0000 [1 per cell]  6 Cu 2.84-2.94, 4 Si 2.98
Cu 0.0000 0.0000 0.4954 [1 per cell]  4 Si 2.55, 4 Cu 2.69
Cu 0.5000 0.5000 0.7235 [1 per cell]  1 Si 2.36
Si 0.5000 0.5000 0.3187 [1 per cell]  5 Cu 2.36-2.55

---

# 4
Entry from Alexandria via LeMat-Bulk: InCu2Si after structural relaxation (PBE).

Values from the calculation:
Mass density, kg/m3: 7055
E, eV/atom: -3.858

a = 4.4313 Å, b = 3.1217 Å, c = 4.9915 Å
α = 90.00°, β = 113.02°, γ = 90.00°
Closest atoms and distances in Å follow each position.
Space group P2/m (No. 10)
Inequivalent atoms, fractional coordinates:
In 0.0000 0.0000 0.0000 [1 per cell]  6 Cu 2.61-2.71
Cu 0.5000 0.0000 0.5000 [1 per cell]  2 In 2.61, 4 Si 2.71
Cu 0.5000 0.5000 0.0000 [1 per cell]  2 Si 2.61, 4 In 2.71
Si 0.0000 0.5000 0.5000 [1 per cell]  6 Cu 2.61-2.71